Below is an optimized crystal structure of MgBe2B, with properties calculated at the GGA-PBE level.

Structure (CIF):
```
data_MgBe2B
_chemical_formula_sum 'Mg1 Be2 B1'
_space_group_name_H-M_alt 'P 1'
_space_group_IT_number 1
_cell_length_a 3.3730
_cell_length_b 3.3730
_cell_length_c 4.7872
_cell_angle_alpha 90.00
_cell_angle_beta 90.00
_cell_angle_gamma 120.00
loop_
_space_group_symop_operation_xyz
'x,y,z'
loop_
_atom_site_label
_atom_site_type_symbol
_atom_site_fract_x
_atom_site_fract_y
_atom_site_fract_z
Be1 Be 0.3333 0.6667 0.5528
Be2 Be 0.6667 0.3333 0.4472
Mg1 Mg 0.0000 0.0000 0.0000
B1 B 0.0000 0.0000 0.5000
```

Output
- Electronic total energy: -15.46 eV per cell
- Energy above the most stable polymorph in this dataset: 46 meV per atom
- Crystal system: trigonal
- Magnetization: 0.000 Bohr magnetons per cell
- Symmetry: P-3m1
- Density of states at the Fermi level: 0.29 states/eV per atom
- E_form: 0.3 eV per formula unit



Below is an optimized crystal structure of CsKPtSe2, with properties calculated at the GGA-PBE level.

Structure (CIF):
```
data_CsKPtSe2
_chemical_formula_sum 'Cs2 K2 Pt2 Se4'
_space_group_name_H-M_alt 'P 1'
_space_group_IT_number 1
_cell_length_a 5.8252
_cell_length_b 7.3460
_cell_length_c 8.3309
_cell_angle_alpha 90.00
_cell_angle_beta 90.00
_cell_angle_gamma 90.00
loop_
_space_group_symop_operation_xyz
'x,y,z'
loop_
_atom_site_label
_atom_site_type_symbol
_atom_site_fract_x
_atom_site_fract_y
_atom_site_fract_z
Cs1 Cs 0.3326 0.2500 0.5000
Cs2 Cs 0.6674 0.7500 0.5000
K1 K 0.5506 0.7500 0.0000
K2 K 0.4494 0.2500 0.0000
Pt1 Pt 0.0000 0.0000 0.0000
Pt2 Pt 0.0000 0.5000 0.0000
Se1 Se 0.9195 0.2500 0.8008
Se2 Se 0.9195 0.2500 0.1992
Se3 Se 0.0805 0.7500 0.8008
Se4 Se 0.0805 0.7500 0.1992
```

Output
- E_form (uncorrected): -4.10 eV/f.u.
- Electronic total energy: -38.12 eV per cell
- Energy above the most stable polymorph in this dataset: 0 meV per atom
- Crystal system: orthorhombic
- Magnetization: 0.000 Bohr magnetons per cell
- Symmetry: Pmma



Below is an optimized crystal structure of KBaLi2Ir, with properties calculated at the GGA-PBE level.

Structure (CIF):
```
data_KBaLi2Ir
_chemical_formula_sum 'K1 Ba1 Li2 Ir1'
_space_group_name_H-M_alt 'P 1'
_space_group_IT_number 1
_cell_length_a 5.0381
_cell_length_b 5.7961
_cell_length_c 5.0381
_cell_angle_alpha 90.00
_cell_angle_beta 90.00
_cell_angle_gamma 90.00
loop_
_space_group_symop_operation_xyz
'x,y,z'
loop_
_atom_site_label
_atom_site_type_symbol
_atom_site_fract_x
_atom_site_fract_y
_atom_site_fract_z
K1 K 0.0000 0.0000 0.0000
Ir1 Ir 0.0000 0.5000 0.0000
Ba1 Ba 0.5000 0.5000 0.5000
Li1 Li 0.0000 0.0000 0.5000
Li2 Li 0.5000 0.0000 0.0000
```

Output
- Electronic total energy: -11.96 eV per cell
- Crystal system: tetragonal
- Magnetization: 0.000 Bohr magnetons per cell
- Symmetry: P4/mmm
- Density of states at the Fermi level: 0.31 states/eV per atom
- E_form: 3.7 eV per formula unit



Below is an optimized crystal structure of Mg2Cu2Ir, with properties calculated at the GGA-PBE level.

Structure (CIF):
```
data_Mg2Cu2Ir
_chemical_formula_sum 'Mg4 Cu4 Ir2'
_space_group_name_H-M_alt 'P 1'
_space_group_IT_number 1
_cell_length_a 6.4249
_cell_length_b 6.4249
_cell_length_c 3.7996
_cell_angle_alpha 90.00
_cell_angle_beta 90.00
_cell_angle_gamma 90.00
loop_
_space_group_symop_operation_xyz
'x,y,z'
loop_
_atom_site_label
_atom_site_type_symbol
_atom_site_fract_x
_atom_site_fract_y
_atom_site_fract_z
Mg1 Mg 0.1811 0.6811 0.5000
Mg2 Mg 0.6811 0.8189 0.5000
Mg3 Mg 0.8189 0.3189 0.5000
Mg4 Mg 0.3189 0.1811 0.5000
Ir1 Ir 0.0000 0.0000 0.0000
Ir2 Ir 0.5000 0.5000 0.0000
Cu1 Cu 0.3719 0.8719 0.0000
Cu2 Cu 0.8719 0.6281 0.0000
Cu3 Cu 0.6281 0.1281 0.0000
Cu4 Cu 0.1281 0.3719 0.0000
```

Output
- Electronic total energy: -40.96 eV per cell
- Energy above the most stable polymorph in this dataset: 0 meV per atom
- Crystal system: tetragonal
- Magnetization: 0.000 Bohr magnetons per cell
- Symmetry: P4/mbm
- Density of states at the Fermi level: 0.43 states/eV per atom
- E_form: -0.2 eV per formula unit